Entry 1:
An optimized crystal structure of La2TlTe. Source: the Alexandria database, functional PBEsol.

As for the energy above the most stable polymorph in this dataset: 0.012 eV/atom. The calculation puts the magnetic moment at 0.000 μB per atom. As for the total energy: -5.168 eV/atom. Its density of states at the Fermi level is 2.585 states/eV/f.u. The uncorrected formation energy is -3.823 eV per formula unit.

Cell lengths 4.3707, 4.3707, 24.0978 Å; angles 90.00, 90.00, 120.00 degrees
Last column: nearest neighbours and their distance in Å.
Space group R-3m (No. 166, hexagonal axes)
Inequivalent atoms, fractional coordinates:
La 0.0000 0.0000 0.2479 (multiplicity 6)  3 Te 3.19, 3 Tl 3.26
Tl 0.0000 0.0000 0.0000 (multiplicity 3)  6 La 3.26
Te 0.0000 0.0000 0.5000 (multiplicity 3)  6 La 3.19

***

Entry 2:
An optimized crystal structure of CaZr3Cu. Source: the Alexandria database, functional PBEsol.

The calculation puts the magnetic moment at 0.000 μB per atom. As for the total energy: -4.921 eV/atom. Its density of states at the Fermi level is 7.568 states/eV/f.u. The calculation puts the energy of formation from the pure elements at 1.826 eV/atom.

Cell lengths 4.8997, 4.8997, 4.8997 Å; angles 90.00, 90.00, 90.00 degrees
Last column: nearest neighbours and their distance in Å.
Space group Pm-3m (No. 221)
Inequivalent atoms, fractional coordinates:
Ca 0.0000 0.0000 0.0000 (multiplicity 1)  6 Zr 2.45
Zr 0.0000 0.0000 0.5000 (multiplicity 3)  2 Ca 2.45
Cu 0.5000 0.5000 0.5000 (multiplicity 1)  12 Zr 3.46

***

Entry 3:
An optimized crystal structure of Li2TiV3O8. Source: the Alexandria database, functional PBEsol.

As for the energy above the most stable polymorph in this dataset: 0.040 eV/atom. The calculation puts the magnetic moment at 0.252 μB per atom. As for the total energy: -8.388 eV/atom. Its density of states at the Fermi level is 5.564 states/eV/f.u. The uncorrected formation energy is -34.278 eV per formula unit.

Cell lengths 11.7761, 3.9149, 6.3621 Å; angles 90.00, 107.17, 90.00 degrees
Last column: nearest neighbours and their distance in Å.
Space group Cm (No. 8)
Inequivalent atoms, fractional coordinates:
Li 0.0000 0.0000 0.0000 (multiplicity 2)  5 O 1.96-2.06
Li 0.1111 0.0000 0.6798 (multiplicity 2)  5 O 1.95-2.04
Ti 0.2678 0.5000 0.6203 (multiplicity 2)  1 O 1.75
V 0.1695 0.5000 0.0346 (multiplicity 2)  5 O 1.82-1.98
V 0.3428 0.0000 0.0548 (multiplicity 2)  1 O 1.74
V 0.4437 0.0000 0.6345 (multiplicity 2)  4 O 1.79-1.97
O 0.1163 0.5000 0.6948 (multiplicity 2)  2 V 1.95-2.07, 2 Li 1.96, 1 Ti 1.98
O 0.1696 0.0000 0.0154 (multiplicity 2)  3 V 1.96-1.98, 2 Li 1.97-2.04
O 0.2061 0.5000 0.3332 (multiplicity 2)  1 Ti 1.75, 1 V 1.82
O 0.2823 0.0000 0.6848 (multiplicity 2)  2 Ti 2.00, 1 Li 2.01, 1 V 2.02
O 0.3309 0.5000 0.9973 (multiplicity 2)  3 V 1.98-1.99, 1 Li 1.99
O 0.4004 0.0000 0.3402 (multiplicity 2)  2 V 1.74-1.79
O 0.4430 0.5000 0.6618 (multiplicity 2)  2 Li 1.95-2.06, 2 V 1.97, 1 Ti 2.00
O 0.4949 0.0000 0.9786 (multiplicity 2)  2 Li 1.96, 3 V 1.98-2.09

***

Entry 4:
An optimized crystal structure of SrBeFeW2. Source: the Alexandria database, functional PBEsol.

The calculation puts the magnetic moment at 0.450 μB per atom. As for the total energy: -4.884 eV/atom. Its density of states at the Fermi level is 6.022 states/eV/f.u. The calculation puts the energy of formation from the pure elements at 3.600 eV/atom.

Cell lengths 4.7569, 4.7569, 4.4123 Å; angles 90.00, 90.00, 90.00 degrees
Last column: nearest neighbours and their distance in Å.
Space group P4/mmm (No. 123)
Inequivalent atoms, fractional coordinates:
Sr 0.0000 0.0000 0.0000 (multiplicity 1)  2 Fe 2.21, 4 W 2.38
Be 0.5000 0.5000 0.5000 (multiplicity 1)  8 W 3.24, 4 Fe 3.36
Fe 0.0000 0.0000 0.5000 (multiplicity 1)  2 Sr 2.21
W 0.0000 0.5000 0.0000 (multiplicity 2)  2 Sr 2.38

***

Entry 5:
An optimized crystal structure of Na2CoH12S2O14. Source: the Alexandria database, functional PBEsol.

The calculation puts the magnetic moment at 0.097 μB per atom. As for the total energy: -5.532 eV/atom. Its density of states at the Fermi level is 3.081 states/eV/f.u.

Cell lengths 5.8944, 11.7770, 8.7175 Å; angles 90.00, 103.38, 90.00 degrees
Last column: nearest neighbours and their distance in Å.
Space group P2_1/c (No. 14)
Inequivalent atoms, fractional coordinates:
Na 0.1774 0.1545 0.3403 (multiplicity 4)  5 O 2.37-2.52
Co 0.5000 0.0000 0.0000 (multiplicity 2)  6 O 1.95-2.18
H 0.1561 0.6440 0.4649 (multiplicity 4)  1 O 1.01
H 0.1628 0.0797 0.7699 (multiplicity 4)  1 O 1.00
H 0.1671 0.5640 0.6231 (multiplicity 4)  1 O 1.00
H 0.4021 0.1193 0.7306 (multiplicity 4)  1 O 1.00
H 0.4034 0.6182 0.2319 (multiplicity 4)  1 O 1.01
H 0.4789 0.2010 0.1294 (multiplicity 4)  1 O 1.00
S 0.2219 0.6420 0.9199 (multiplicity 4)  4 O 1.48-1.50
O 0.0888 0.7467 0.8616 (multiplicity 4)  1 S 1.49, 1 H 1.57
O 0.1333 0.5488 0.8054 (multiplicity 4)  1 S 1.49, 1 H 1.66
O 0.1864 0.6120 0.0770 (multiplicity 4)  1 S 1.48, 1 H 1.63
O 0.2071 0.5692 0.5180 (multiplicity 4)  2 H 1.00-1.01
O 0.3215 0.1098 0.8186 (multiplicity 4)  2 H 1.00
O 0.4585 0.1251 0.1754 (multiplicity 4)  2 H 1.00-1.01
O 0.4764 0.6604 0.9286 (multiplicity 4)  1 S 1.50

***

Entry 6:
An optimized crystal structure of MgSi2N. Source: the Alexandria database, functional PBEsol.

The calculation puts the magnetic moment at 0.089 μB per atom. As for the total energy: -4.239 eV/atom. Its density of states at the Fermi level is 2.357 states/eV/f.u. The uncorrected formation energy is 4.780 eV per formula unit.

Cell lengths 6.1016, 6.1016, 6.1016 Å; angles 90.00, 90.00, 90.00 degrees
Last column: nearest neighbours and their distance in Å.
Space group Fm-3m (No. 225)
Inequivalent atoms, fractional coordinates:
Mg 0.0000 0.0000 0.0000 (multiplicity 4)  8 Si 2.64
Si 0.2500 0.2500 0.2500 (multiplicity 8)  4 N 2.64, 4 Mg 2.64
N 0.0000 0.0000 0.5000 (multiplicity 4)  8 Si 2.64

***

Entry 7:
An optimized crystal structure of TiZnTc2C. Source: the Alexandria database, functional PBEsol.

The calculation puts the magnetic moment at 0.000 μB per atom. As for the total energy: -8.541 eV/atom. Its density of states at the Fermi level is 4.995 states/eV/f.u. The calculation puts the energy of formation from the pure elements at -0.125 eV/atom.

Cell lengths 3.9968, 3.9968, 4.1101 Å; angles 90.00, 90.00, 90.00 degrees
Last column: nearest neighbours and their distance in Å.
Space group P4/mmm (No. 123)
Inequivalent atoms, fractional coordinates:
Ti 0.0000 0.0000 0.0000 (multiplicity 1)  2 C 2.06
Zn 0.5000 0.5000 0.0000 (multiplicity 1)  4 Ti 2.83, 8 Tc 2.87
Tc 0.0000 0.5000 0.5000 (multiplicity 2)  2 C 2.00
C 0.0000 0.0000 0.5000 (multiplicity 1)  4 Tc 2.00, 2 Ti 2.06

***

Entry 8:
An optimized crystal structure of BaY2Te. Source: the Alexandria database, functional PBEsol.

The calculation puts the magnetic moment at 0.001 μB per atom. As for the total energy: -5.134 eV/atom. Its density of states at the Fermi level is 5.695 states/eV/f.u. The uncorrected formation energy is -1.218 eV per formula unit.

Cell lengths 4.8016, 4.8016, 10.7064 Å; angles 90.00, 90.00, 90.00 degrees
Last column: nearest neighbours and their distance in Å.
Space group I-4m2 (No. 119)
Inequivalent atoms, fractional coordinates:
Ba 0.0000 0.0000 0.0000 (multiplicity 2)  8 Y 3.40-3.60, 4 Te 3.60
Y 0.0000 0.0000 0.5000 (multiplicity 2)  4 Ba 3.40, 4 Te 3.60, 4 Y 3.60
Y 0.0000 0.5000 0.7500 (multiplicity 2)  4 Te 3.40, 4 Ba 3.60, 4 Y 3.60
Te 0.0000 0.5000 0.2500 (multiplicity 2)  8 Y 3.40-3.60, 4 Ba 3.60

***

Look up the magnetic moment of the fourth one. 0.450 μB per atom